## Zn9AgRu2 (PBE)

Data for a relaxed structure of Zn9AgRu2.

Cell and atoms, written as POSCAR:
```
Zn9AgRu2
1.0
-1.596 0.598 3.428
1.109 -3.487 1.125
10.184 4.513 3.955
Zn Ag Ru
9 1 2
Direct
0.000 0.500 0.822
0.000 0.500 0.500
0.500 0.500 0.335
0.000 0.500 0.178
0.500 0.500 0.665
0.500 0.000 0.178
0.500 0.000 0.822
0.500 0.500 0.000
0.500 0.000 0.500
0.000 0.000 0.000
0.000 0.000 0.656
0.000 0.000 0.344
```

## Properties
Fermi-level density of states	5.04	states/eV per cell
formation energy from the elements	-0.09	eV/atom
M_tot	0.0	μB per formula unit
symmetry	P4/mmm, No. 123
ρ	8.6	g cm⁻³